Crystalline RbCa2Mg at its relaxed geometry, computed with PBE.

Unit cell a=3.979 b=3.979 c=11.304 alpha=90.00 beta=90.00 gamma=90.00
Positions (direct):
1 Ca 0.000 0.000 0.825
2 Ca 0.000 0.000 0.175
3 Mg 0.500 0.500 0.000
4 Rb 0.500 0.500 0.500

## Properties
Volume   178.9 Å³/cell
Space group   P4/mmm, No. 123
Energy relative to the elements   0.3 eV per formula unit
E_tot   -0.0574 hartree per atom